ScBeBr2 (PBE-GGA, relaxed); DFT total energy = -14.6 eV per formula unit; energy above the most stable polymorph in this dataset = 1.23 eV/f.u.
1.0
7.4573 0.0082 -0.0066
5.1882 5.3567 0.0066
-5.9376 -3.5904 2.7324
Br Be Sc
2 1 1
Direct
0.3338 0.8338 0.5000
0.0413 0.0413 0.0000
0.6393 0.1393 0.5000
0.4856 0.4856 0.0000